A plane-wave DFT calculation with PBE was carried out for B2H3S after structural relaxation.

```
data_B2H3S
_cell_length_a 13.384
_cell_length_b 3.075
_cell_length_c 5.733
_cell_angle_alpha 90.00
_cell_angle_beta 101.71
_cell_angle_gamma 90.00
_space_group_name_H-M_alt 'C 1 2/m 1'
_space_group_IT_number 12
_space_group_name_Hall '-C 2y'
loop_
_atom_site_label
_atom_site_type_symbol
_atom_site_fract_x
_atom_site_fract_y
_atom_site_fract_z
B1 B 0.036 0.000 0.142
B2 B 0.219 0.500 0.999
H1 H 0.010 0.000 0.695
H2 H 0.129 0.500 0.816
H3 H 0.179 0.500 0.749
S1 S 0.126 0.500 0.213
```

Computed properties:
calculated total energy	-4.58	eV/atom

A plane-wave DFT calculation with PBE was carried out for B2H2S after structural relaxation.

```
data_B2H2S
_cell_length_a 4.477
_cell_length_b 4.477
_cell_length_c 18.095
_cell_angle_alpha 90.00
_cell_angle_beta 90.00
_cell_angle_gamma 90.00
_space_group_name_H-M_alt 'I 41 m d'
_space_group_IT_number 109
_space_group_name_Hall 'I 4bw -2'
loop_
_atom_site_label
_atom_site_type_symbol
_atom_site_fract_x
_atom_site_fract_y
_atom_site_fract_z
B1 B 0.000 0.192 0.000
H1 H 0.000 0.281 0.062
S1 S 0.000 0.000 0.684
```

Computed properties:
calculated total energy	-4.67	eV/atom

A plane-wave DFT calculation with PBE was carried out for BHS4 after structural relaxation.

```
data_BHS4
_cell_length_a 4.727
_cell_length_b 4.972
_cell_length_c 13.027
_cell_angle_alpha 94.27
_cell_angle_beta 99.13
_cell_angle_gamma 110.22
_space_group_name_H-M_alt 'P -1'
_space_group_IT_number 2
_space_group_name_Hall '-P 1'
loop_
_atom_site_label
_atom_site_type_symbol
_atom_site_fract_x
_atom_site_fract_y
_atom_site_fract_z
B1 B 0.008 0.256 0.014
H1 H 0.383 0.875 0.363
S1 S 0.105 0.194 0.557
S2 S 0.169 0.512 0.915
S3 S 0.268 0.078 0.084
S4 S 0.347 0.063 0.672
```

Computed properties:
calculated total energy	-4.49	eV/atom

A plane-wave DFT calculation with PBE was carried out for BH3S after structural relaxation.

```
data_BH3S
_cell_length_a 4.532
_cell_length_b 5.764
_cell_length_c 5.957
_cell_angle_alpha 96.10
_cell_angle_beta 107.63
_cell_angle_gamma 109.18
_space_group_name_H-M_alt 'P 1'
_space_group_IT_number 1
_space_group_name_Hall 'P 1'
loop_
_atom_site_label
_atom_site_type_symbol
_atom_site_fract_x
_atom_site_fract_y
_atom_site_fract_z
B1 B 0.000 0.000 0.000
B2 B 0.265 0.996 0.267
H1 H 0.378 0.180 0.434
H2 H 0.492 0.938 0.240
H3 H 0.735 0.727 0.340
H4 H 0.761 0.821 0.863
H5 H 0.823 0.228 0.690
H6 H 0.948 0.520 0.211
S1 S 0.045 0.719 0.401
S2 S 0.082 0.292 0.904
```

Computed properties:
calculated total energy	-4.24	eV/atom

A plane-wave DFT calculation with PBE was carried out for BHS after structural relaxation.

```
data_BHS
_cell_length_a 5.038
_cell_length_b 5.038
_cell_length_c 8.766
_cell_angle_alpha 90.00
_cell_angle_beta 90.00
_cell_angle_gamma 90.00
_space_group_name_H-M_alt 'I 4 m m'
_space_group_IT_number 107
_space_group_name_Hall 'I 4 -2'
loop_
_atom_site_label
_atom_site_type_symbol
_atom_site_fract_x
_atom_site_fract_y
_atom_site_fract_z
B1 B 0.000 0.000 0.000
H1 H 0.000 0.000 0.571
S1 S 0.000 0.000 0.185
```

Computed properties:
calculated total energy	-2.97	eV/atom

A plane-wave DFT calculation with PBE was carried out for BTeHS2 after structural relaxation.

```
data_BTeHS2
_cell_length_a 4.004
_cell_length_b 4.004
_cell_length_c 5.188
_cell_angle_alpha 90.00
_cell_angle_beta 90.00
_cell_angle_gamma 90.00
_space_group_name_H-M_alt 'P 4/m m m'
_space_group_IT_number 123
_space_group_name_Hall '-P 4 2'
loop_
_atom_site_label
_atom_site_type_symbol
_atom_site_fract_x
_atom_site_fract_y
_atom_site_fract_z
B1 B 0.000 0.000 0.000
Te1 Te 0.000 0.000 0.500
H1 H 0.500 0.500 0.500
S1 S 0.000 0.500 0.000
```

Computed properties:
calculated total energy	-3.20	eV/atom

A plane-wave DFT calculation with PBE was carried out for TlBHS2 after structural relaxation.

```
data_TlBHS2
_cell_length_a 4.555
_cell_length_b 4.555
_cell_length_c 3.391
_cell_angle_alpha 90.00
_cell_angle_beta 90.00
_cell_angle_gamma 90.00
_space_group_name_H-M_alt 'P 4/m m m'
_space_group_IT_number 123
_space_group_name_Hall '-P 4 2'
loop_
_atom_site_label
_atom_site_type_symbol
_atom_site_fract_x
_atom_site_fract_y
_atom_site_fract_z
Tl1 Tl 0.000 0.000 0.000
B1 B 0.500 0.500 0.500
H1 H 0.500 0.500 0.000
S1 S 0.000 0.500 0.500
```

Computed properties:
calculated total energy	-3.60	eV/atom

A plane-wave DFT calculation with PBE was carried out for TlBH2S after structural relaxation.

```
data_TlBH2S
_cell_length_a 3.615
_cell_length_b 3.615
_cell_length_c 5.116
_cell_angle_alpha 90.00
_cell_angle_beta 90.00
_cell_angle_gamma 90.00
_space_group_name_H-M_alt 'P 4/m m m'
_space_group_IT_number 123
_space_group_name_Hall '-P 4 2'
loop_
_atom_site_label
_atom_site_type_symbol
_atom_site_fract_x
_atom_site_fract_y
_atom_site_fract_z
Tl1 Tl 0.000 0.000 0.000
B1 B 0.000 0.000 0.500
H1 H 0.000 0.500 0.500
S1 S 0.500 0.500 0.000
```

Computed properties:
calculated total energy	-3.02	eV/atom

A plane-wave DFT calculation with PBE was carried out for VBHS2 after structural relaxation.

```
data_VBHS2
_cell_length_a 4.532
_cell_length_b 4.532
_cell_length_c 3.443
_cell_angle_alpha 90.00
_cell_angle_beta 90.00
_cell_angle_gamma 90.00
_space_group_name_H-M_alt 'P 4/m m m'
_space_group_IT_number 123
_space_group_name_Hall '-P 4 2'
loop_
_atom_site_label
_atom_site_type_symbol
_atom_site_fract_x
_atom_site_fract_y
_atom_site_fract_z
V1 V 0.000 0.000 0.000
B1 B 0.500 0.500 0.500
H1 H 0.000 0.000 0.500
S1 S 0.000 0.500 0.000
```

Computed properties:
calculated total energy	-4.84	eV/atom

A plane-wave DFT calculation with PBE was carried out for B2SbH after structural relaxation.

```
data_B2SbH
_cell_length_a 5.700
_cell_length_b 5.700
_cell_length_c 5.700
_cell_angle_alpha 90.00
_cell_angle_beta 90.00
_cell_angle_gamma 90.00
_space_group_name_H-M_alt 'F m -3 m'
_space_group_IT_number 225
_space_group_name_Hall '-F 4 2 3'
loop_
_atom_site_label
_atom_site_type_symbol
_atom_site_fract_x
_atom_site_fract_y
_atom_site_fract_z
B1 B 0.250 0.250 0.250
Sb1 Sb 0.000 0.000 0.000
H1 H 0.000 0.000 0.500
```

Computed properties:
calculated total energy	-3.47	eV/atom

A plane-wave DFT calculation with PBE was carried out for BSbH3 after structural relaxation.

```
data_BSbH3
_cell_length_a 3.933
_cell_length_b 3.933
_cell_length_c 3.933
_cell_angle_alpha 90.00
_cell_angle_beta 90.00
_cell_angle_gamma 90.00
_space_group_name_H-M_alt 'P m -3 m'
_space_group_IT_number 221
_space_group_name_Hall '-P 4 2 3'
loop_
_atom_site_label
_atom_site_type_symbol
_atom_site_fract_x
_atom_site_fract_y
_atom_site_fract_z
B1 B 0.000 0.000 0.000
Sb1 Sb 0.500 0.500 0.500
H1 H 0.000 0.500 0.500
```

Computed properties:
calculated total energy	-2.80	eV/atom

A plane-wave DFT calculation with PBE was carried out for BSbH2 after structural relaxation.

```
data_BSbH2
_cell_length_a 5.337
_cell_length_b 5.337
_cell_length_c 5.337
_cell_angle_alpha 90.00
_cell_angle_beta 90.00
_cell_angle_gamma 90.00
_space_group_name_H-M_alt 'F m -3 m'
_space_group_IT_number 225
_space_group_name_Hall '-F 4 2 3'
loop_
_atom_site_label
_atom_site_type_symbol
_atom_site_fract_x
_atom_site_fract_y
_atom_site_fract_z
B1 B 0.000 0.000 0.000
Sb1 Sb 0.000 0.000 0.500
H1 H 0.250 0.250 0.250
```

Computed properties:
calculated total energy	-3.08	eV/atom

A plane-wave DFT calculation with PBE was carried out for BSb2H after structural relaxation.

```
data_BSb2H
_cell_length_a 6.297
_cell_length_b 6.297
_cell_length_c 6.297
_cell_angle_alpha 90.00
_cell_angle_beta 90.00
_cell_angle_gamma 90.00
_space_group_name_H-M_alt 'F m -3 m'
_space_group_IT_number 225
_space_group_name_Hall '-F 4 2 3'
loop_
_atom_site_label
_atom_site_type_symbol
_atom_site_fract_x
_atom_site_fract_y
_atom_site_fract_z
B1 B 0.000 0.000 0.000
Sb1 Sb 0.250 0.250 0.250
H1 H 0.000 0.000 0.500
```

Computed properties:
calculated total energy	-3.55	eV/atom

A plane-wave DFT calculation with PBE was carried out for BSbH2 after structural relaxation.

```
data_BSbH2
_cell_length_a 3.729
_cell_length_b 3.729
_cell_length_c 10.916
_cell_angle_alpha 90.00
_cell_angle_beta 90.00
_cell_angle_gamma 90.00
_space_group_name_H-M_alt 'I 41/a m d'
_space_group_IT_number 141
loop_
_space_group_symop_operation_xyz
'x,y,z'
'-x,-y,-z'
'-y+1/4,x+3/4,z+1/4'
'y+1/4,-x+3/4,-z+1/4'
'-x+1/2,-y,z+1/2'
'x+1/2,y,-z+1/2'
'y+1/4,-x+1/4,z+3/4'
'-y+1/4,x+1/4,-z+3/4'
'x,-y,-z'
'-x,y,z'
'-y+1/4,-x+1/4,-z+3/4'
'y+1/4,x+1/4,z+3/4'
'-x+1/2,y,-z+1/2'
'x+1/2,-y,z+1/2'
'y+1/4,x+3/4,-z+1/4'
'-y+1/4,-x+3/4,z+1/4'
'x+1/2,y+1/2,z+1/2'
'-x+1/2,-y+1/2,-z+1/2'
'-y+3/4,x+1/4,z+3/4'
'y+3/4,-x+1/4,-z+3/4'
'-x,-y+1/2,z'
'x,y+1/2,-z'
'y+3/4,-x+3/4,z+1/4'
'-y+3/4,x+3/4,-z+1/4'
'x+1/2,-y+1/2,-z+1/2'
'-x+1/2,y+1/2,z+1/2'
'-y+3/4,-x+3/4,-z+1/4'
'y+3/4,x+3/4,z+1/4'
'-x,y+1/2,-z'
'x,-y+1/2,z'
'y+3/4,x+1/4,-z+3/4'
'-y+3/4,-x+1/4,z+3/4'
loop_
_atom_site_label
_atom_site_type_symbol
_atom_site_fract_x
_atom_site_fract_y
_atom_site_fract_z
B1 B 0.000 0.250 0.375
Sb1 Sb 0.000 0.250 0.875
H1 H 0.000 0.000 0.500
```

Computed properties:
calculated total energy	-3.45	eV/atom

A plane-wave DFT calculation with PBE was carried out for BSb2H after structural relaxation.

```
data_BSb2H
_cell_length_a 5.374
_cell_length_b 5.374
_cell_length_c 10.067
_cell_angle_alpha 90.00
_cell_angle_beta 90.00
_cell_angle_gamma 90.00
_space_group_name_H-M_alt 'I -4 2 d'
_space_group_IT_number 122
_space_group_name_Hall 'I -4 2bw'
loop_
_atom_site_label
_atom_site_type_symbol
_atom_site_fract_x
_atom_site_fract_y
_atom_site_fract_z
B1 B 0.000 0.000 0.000
Sb1 Sb 0.243 0.250 0.625
H1 H 0.000 0.000 0.500
```

Computed properties:
calculated total energy	-3.92	eV/atom

A plane-wave DFT calculation with PBE was carried out for B2SbH after structural relaxation.

```
data_B2SbH
_cell_length_a 3.663
_cell_length_b 3.663
_cell_length_c 12.211
_cell_angle_alpha 90.00
_cell_angle_beta 90.00
_cell_angle_gamma 90.00
_space_group_name_H-M_alt 'I -4 2 d'
_space_group_IT_number 122
_space_group_name_Hall 'I -4 2bw'
loop_
_atom_site_label
_atom_site_type_symbol
_atom_site_fract_x
_atom_site_fract_y
_atom_site_fract_z
B1 B 0.106 0.250 0.125
Sb1 Sb 0.000 0.000 0.500
H1 H 0.000 0.000 0.000
```

Computed properties:
calculated total energy	-4.32	eV/atom

A plane-wave DFT calculation with PBE was carried out for B2SbH6 after structural relaxation.

```
data_B2SbH6
_cell_length_a 6.568
_cell_length_b 6.379
_cell_length_c 4.420
_cell_angle_alpha 90.00
_cell_angle_beta 93.26
_cell_angle_gamma 90.00
_space_group_name_H-M_alt 'C 1 2/m 1'
_space_group_IT_number 12
_space_group_name_Hall '-C 2y'
loop_
_atom_site_label
_atom_site_type_symbol
_atom_site_fract_x
_atom_site_fract_y
_atom_site_fract_z
B1 B 0.230 0.000 0.276
Sb1 Sb 0.000 0.500 0.000
H1 H 0.138 0.162 0.205
H2 H 0.198 0.500 0.459
```

Computed properties:
calculated total energy	-3.96	eV/atom

A plane-wave DFT calculation with PBE was carried out for BSbH3 after structural relaxation.

```
data_BSbH3
_cell_length_a 3.436
_cell_length_b 3.436
_cell_length_c 3.436
_cell_angle_alpha 90.00
_cell_angle_beta 90.00
_cell_angle_gamma 90.00
_space_group_name_H-M_alt 'P m -3 m'
_space_group_IT_number 221
_space_group_name_Hall '-P 4 2 3'
loop_
_atom_site_label
_atom_site_type_symbol
_atom_site_fract_x
_atom_site_fract_y
_atom_site_fract_z
B1 B 0.000 0.000 0.000
Sb1 Sb 0.500 0.500 0.500
H1 H 0.000 0.000 0.500
```

Computed properties:
calculated total energy	-3.15	eV/atom

A plane-wave DFT calculation with PBE was carried out for B3SbH after structural relaxation.

```
data_B3SbH
_cell_length_a 3.699
_cell_length_b 3.699
_cell_length_c 3.699
_cell_angle_alpha 90.00
_cell_angle_beta 90.00
_cell_angle_gamma 90.00
_space_group_name_H-M_alt 'P m -3 m'
_space_group_IT_number 221
_space_group_name_Hall '-P 4 2 3'
loop_
_atom_site_label
_atom_site_type_symbol
_atom_site_fract_x
_atom_site_fract_y
_atom_site_fract_z
B1 B 0.000 0.000 0.500
Sb1 Sb 0.500 0.500 0.500
H1 H 0.000 0.000 0.000
```

Computed properties:
calculated total energy	-3.63	eV/atom

A plane-wave DFT calculation with PBE was carried out for B4Sb2H after structural relaxation.

```
data_B4Sb2H
_cell_length_a 3.290
_cell_length_b 3.290
_cell_length_c 15.886
_cell_angle_alpha 90.00
_cell_angle_beta 90.00
_cell_angle_gamma 90.00
_space_group_name_H-M_alt 'I 4/m m m'
_space_group_IT_number 139
_space_group_name_Hall '-I 4 2'
loop_
_atom_site_label
_atom_site_type_symbol
_atom_site_fract_x
_atom_site_fract_y
_atom_site_fract_z
B1 B 0.000 0.000 0.183
B2 B 0.000 0.500 0.000
Sb1 Sb 0.000 0.000 0.344
H1 H 0.000 0.000 0.000
```

Computed properties:
calculated total energy	-3.96	eV/atom